*i*
## Nd3Sm7Tm (PBE)

Data for a relaxed Nd3Sm7Tm crystal.

The structure in CIF format:
```
data_Nd3Sm7Tm
_chemical_formula_sum 'Nd6 Sm14 Tm2'
_space_group_name_H-M_alt 'C 1 2/m 1'
_space_group_IT_number 12
_cell_length_a 11.7518
_cell_length_b 10.2238
_cell_length_c 6.4826
_cell_angle_alpha 90.00
_cell_angle_beta 94.54
_cell_angle_gamma 90.00
loop_
_space_group_symop_operation_xyz
'x,y,z'
'-x,-y,-z'
'-x,y,-z'
'x,-y,z'
'x+1/2,y+1/2,z'
'-x+1/2,-y+1/2,-z'
'-x+1/2,y+1/2,-z'
'x+1/2,-y+1/2,z'
loop_
_atom_site_label
_atom_site_type_symbol
_atom_site_fract_x
_atom_site_fract_y
_atom_site_fract_z
Nd1 Nd 0.0000 0.0000 0.0000
Nd2 Nd 0.0000 0.1725 0.5000
Sm1 Sm 0.0000 0.5000 0.5000
Sm2 Sm 0.2409 0.0000 0.7142
Sm3 Sm 0.2417 0.3292 0.7616
Tm1 Tm 0.0000 0.5000 0.0000
```

Values from the calculation:
* size of the total moment: 0.0 μB/f.u.

*ii*
## Nd3Sm7Tm (PBE)

Data for a relaxed Nd3Sm7Tm crystal.

The structure in CIF format:
```
data_Nd3Sm7Tm
_chemical_formula_sum 'Nd6 Sm14 Tm2'
_space_group_name_H-M_alt 'I m m m'
_space_group_IT_number 71
_space_group_name_Hall '-I 2 2'
_cell_length_a 5.9481
_cell_length_b 11.3402
_cell_length_c 11.3543
_cell_angle_alpha 90.00
_cell_angle_beta 90.00
_cell_angle_gamma 90.00
loop_
_atom_site_label
_atom_site_type_symbol
_atom_site_fract_x
_atom_site_fract_y
_atom_site_fract_z
Nd1 Nd 0.0000 0.0000 0.0000
Nd2 Nd 0.0000 0.2894 0.5000
Sm1 Sm 0.0000 0.0000 0.5000
Sm2 Sm 0.0000 0.2047 0.1979
Sm3 Sm 0.0000 0.5000 0.2910
Tm1 Tm 0.0000 0.5000 0.0000
```

Values from the calculation:
* size of the total moment: 0.0 μB/f.u.

Stability, highest: *i*

*i*
## NdSm2Tm4 (PBE)

Data for a relaxed NdSm2Tm4 crystal.

The structure in CIF format:
```
data_NdSm2Tm4
_chemical_formula_sum 'Nd2 Sm4 Tm8'
_space_group_name_H-M_alt 'C 1 2/m 1'
_space_group_IT_number 12
_cell_length_a 10.6296
_cell_length_b 8.4524
_cell_length_c 6.4660
_cell_angle_alpha 90.00
_cell_angle_beta 127.33
_cell_angle_gamma 90.00
loop_
_space_group_symop_operation_xyz
'x,y,z'
'-x,-y,-z'
'-x,y,-z'
'x,-y,z'
'x+1/2,y+1/2,z'
'-x+1/2,-y+1/2,-z'
'-x+1/2,y+1/2,-z'
'x+1/2,-y+1/2,z'
loop_
_atom_site_label
_atom_site_type_symbol
_atom_site_fract_x
_atom_site_fract_y
_atom_site_fract_z
Nd1 Nd 0.0000 0.0000 0.0000
Sm1 Sm 0.0002 0.5000 0.2503
Tm1 Tm 0.1963 0.1964 0.6966
```

Values from the calculation:
* size of the total moment: 0.0 μB/f.u.

*ii*
## NdSm2Tm4 (PBE)

Data for a relaxed NdSm2Tm4 crystal.

The structure in CIF format:
```
data_NdSm2Tm4
_chemical_formula_sum 'Nd2 Sm4 Tm8'
_space_group_name_H-M_alt 'P 1'
_space_group_IT_number 1
_cell_length_a 7.1082
_cell_length_b 7.9516
_cell_length_c 8.6967
_cell_angle_alpha 111.35
_cell_angle_beta 90.06
_cell_angle_gamma 102.98
loop_
_space_group_symop_operation_xyz
'x,y,z'
loop_
_atom_site_label
_atom_site_type_symbol
_atom_site_fract_x
_atom_site_fract_y
_atom_site_fract_z
Nd1 Nd 0.0000 0.0000 0.0000
Nd2 Nd 0.1430 0.5673 0.8551
Sm1 Sm 0.4303 0.7162 0.5702
Sm2 Sm 0.5691 0.2805 0.4265
Sm3 Sm 0.8552 0.4303 0.1428
Sm4 Sm 0.9279 0.7136 0.5697
Tm1 Tm 0.0713 0.2822 0.4269
Tm2 Tm 0.2150 0.8572 0.2853
Tm3 Tm 0.2871 0.1422 0.7138
Tm4 Tm 0.3579 0.4280 0.1425
Tm5 Tm 0.4993 0.9992 0.9995
Tm6 Tm 0.6411 0.5692 0.8565
Tm7 Tm 0.7125 0.8559 0.2842
Tm8 Tm 0.7848 0.1418 0.7129
```

Values from the calculation:
* size of the total moment: 0.0 μB/f.u.

Stability, highest: *ii*

*i*
## Nd2Sm5Tm4 (PBE)

Data for a relaxed Nd2Sm5Tm4 crystal.

The structure in CIF format:
```
data_Nd2Sm5Tm4
_chemical_formula_sum 'Nd4 Sm10 Tm8'
_space_group_name_H-M_alt 'I m m m'
_space_group_IT_number 71
_space_group_name_Hall '-I 2 2'
_cell_length_a 3.5167
_cell_length_b 9.0868
_cell_length_c 23.4394
_cell_angle_alpha 90.00
_cell_angle_beta 90.00
_cell_angle_gamma 90.00
loop_
_atom_site_label
_atom_site_type_symbol
_atom_site_fract_x
_atom_site_fract_y
_atom_site_fract_z
Nd1 Nd 0.0000 0.0000 0.2321
Sm1 Sm 0.0000 0.1979 0.3578
Sm2 Sm 0.0000 0.5000 0.0000
Tm1 Tm 0.0000 0.0000 0.0963
Tm2 Tm 0.0000 0.3155 0.5000
```

Values from the calculation:
* size of the total moment: 0.0 μB/f.u.

*ii*
## Nd2Sm5Tm4 (PBE)

Data for a relaxed Nd2Sm5Tm4 crystal.

The structure in CIF format:
```
data_Nd2Sm5Tm4
_chemical_formula_sum 'Nd4 Sm10 Tm8'
_space_group_name_H-M_alt 'C 1 2/m 1'
_space_group_IT_number 12
_cell_length_a 23.5311
_cell_length_b 3.5875
_cell_length_c 8.7798
_cell_angle_alpha 90.00
_cell_angle_beta 104.38
_cell_angle_gamma 90.00
loop_
_space_group_symop_operation_xyz
'x,y,z'
'-x,-y,-z'
'-x,y,-z'
'x,-y,z'
'x+1/2,y+1/2,z'
'-x+1/2,-y+1/2,-z'
'-x+1/2,y+1/2,-z'
'x+1/2,-y+1/2,z'
loop_
_atom_site_label
_atom_site_type_symbol
_atom_site_fract_x
_atom_site_fract_y
_atom_site_fract_z
Nd1 Nd 0.0898 0.0000 0.2232
Sm1 Sm 0.0000 0.0000 0.5000
Sm2 Sm 0.1366 0.5000 0.5941
Sm3 Sm 0.2271 0.5000 0.3129
Tm1 Tm 0.0468 0.5000 0.8641
Tm2 Tm 0.1820 0.0000 0.9540
```

Values from the calculation:
* size of the total moment: 0.0 μB/f.u.

Stability, highest: *ii*

*i*
## NdSm3Tm3 (PBE)

Data for a relaxed NdSm3Tm3 crystal.

The structure in CIF format:
```
data_NdSm3Tm3
_chemical_formula_sum 'Nd2 Sm6 Tm6'
_space_group_name_H-M_alt 'P 63/m'
_space_group_IT_number 176
_space_group_name_Hall '-P 6c'
_cell_length_a 9.6141
_cell_length_b 9.6141
_cell_length_c 5.7134
_cell_angle_alpha 90.00
_cell_angle_beta 90.00
_cell_angle_gamma 120.00
loop_
_atom_site_label
_atom_site_type_symbol
_atom_site_fract_x
_atom_site_fract_y
_atom_site_fract_z
Nd1 Nd 0.3333 0.6667 0.2500
Sm1 Sm 0.0496 0.8088 0.2500
Tm1 Tm 0.0955 0.6176 0.7500
```

Values from the calculation:
* size of the total moment: 0.0 μB/f.u.

*ii*
## NdSm3Tm3 (PBE)

Data for a relaxed NdSm3Tm3 crystal.

The structure in CIF format:
```
data_NdSm3Tm3
_chemical_formula_sum 'Nd6 Sm18 Tm18'
_space_group_name_H-M_alt 'R -3'
_space_group_IT_number 148
_space_group_name_Hall '-R 3'
_cell_length_a 8.6536
_cell_length_b 8.6536
_cell_length_c 21.9345
_cell_angle_alpha 90.00
_cell_angle_beta 90.00
_cell_angle_gamma 120.00
loop_
_atom_site_label
_atom_site_type_symbol
_atom_site_fract_x
_atom_site_fract_y
_atom_site_fract_z
Nd1 Nd 0.0000 0.0000 0.1544
Sm1 Sm 0.0498 0.6020 0.3807
Tm1 Tm 0.0052 0.7748 0.5585
```

Values from the calculation:
* size of the total moment: 0.0 μB/f.u.

Stability, highest: *i*